Entry 1:
VASP calculation (PBE-GGA) on a geometry-optimized YU2Fe3 structure.

energy of formation from the pure elements = -5.27 kJ per mole of atoms

a = 8.863 Å, b = 7.675 Å, c = 6.410 Å
α = 90.00°, β = 90.00°, γ = 90.00°
Space group Cmcm (No. 63)
Asymmetric unit:
1 Y 0.000 0.190 0.250 (multiplicity 4)
2 U 0.205 0.500 0.000 (multiplicity 8)
3 Fe 0.000 0.405 0.750 (multiplicity 4)
4 Fe 0.163 0.148 0.750 (multiplicity 8)

***

Entry 2:
VASP calculation (PBE-GGA) on a geometry-optimized Pm8Si3I3Cl structure.

E_form (uncorrected) = -13.23 eV/f.u.

a = 8.5326 Å, b = 8.5326 Å, c = 22.1561 Å
α = 90.00°, β = 90.00°, γ = 120.00°
Space group R-3m (No. 166, hexagonal axes)
Asymmetric unit:
1 Pm 0.0000 0.0000 0.2335 (multiplicity 6)
2 Pm 0.0219 0.5109 0.7627 (multiplicity 18)
3 Si 0.0000 0.5000 0.5000 (multiplicity 9)
4 I 0.0000 0.5000 0.0000 (multiplicity 9)
5 Cl 0.0000 0.0000 0.5000 (multiplicity 3)

***

Entry 3:
VASP calculation (PBE-GGA) on a geometry-optimized CeCo3H6 structure.

a = 4.4993 Å, b = 4.4993 Å, c = 13.9960 Å
α = 90.00°, β = 90.00°, γ = 120.00°
Space group R3 (No. 146, hexagonal axes)
Asymmetric unit:
1 Ce 0.0000 0.0000 0.0000 (multiplicity 3)
2 Co 0.0000 0.0000 0.2105 (multiplicity 3)
3 Co 0.0000 0.0000 0.5446 (multiplicity 3)
4 Co 0.0000 0.0000 0.8296 (multiplicity 3)
5 H 0.0008 0.5060 0.9526 (multiplicity 9)
6 H 0.0337 0.3419 0.1400 (multiplicity 9)

***

Entry 4:
VASP calculation (PBE-GGA) on a geometry-optimized AlTlOs3 structure.

energy of formation from the pure elements = 155.28 kJ per mole of atoms
excess energy over the best structure of this formula in the dataset = 0.0 meV/atom

a = 4.507 Å, b = 4.507 Å, c = 4.507 Å
α = 90.00°, β = 90.00°, γ = 90.00°
Space group Pm-3m (No. 221)
Asymmetric unit:
1 Al 0.000 0.000 0.000 (multiplicity 1)
2 Tl 0.500 0.500 0.500 (multiplicity 1)
3 Os 0.000 0.000 0.500 (multiplicity 3)

***

Entry 5:
VASP calculation (PBE-GGA) on a geometry-optimized NaYZr structure.

energy of formation from the pure elements = 21.36 kJ per mole of atoms
excess energy over the best structure of this formula in the dataset = 126.9 meV/atom

a = 4.813 Å, b = 15.923 Å, c = 4.624 Å
α = 90.00°, β = 90.00°, γ = 90.00°
Space group Cmcm (No. 63)
Asymmetric unit:
1 Na 0.000 0.248 0.250 (multiplicity 4)
2 Y 0.000 0.423 0.750 (multiplicity 4)
3 Zr 0.000 0.061 0.750 (multiplicity 4)

***

Entry 6:
VASP calculation (PBE-GGA) on a geometry-optimized SrMn2Cd structure.

energy of formation from the pure elements = 55.76 kJ per mole of atoms

a = 3.600 Å, b = 5.264 Å, c = 10.035 Å
α = 90.00°, β = 90.00°, γ = 90.00°
Space group Immm (No. 71)
Asymmetric unit:
1 Sr 0.000 0.000 0.000 (multiplicity 2)
2 Mn 0.000 0.500 0.221 (multiplicity 4)
3 Cd 0.000 0.000 0.500 (multiplicity 2)

***

Entry 7:
VASP calculation (PBE-GGA) on a geometry-optimized KSb2TeS structure.

E_form (uncorrected) = 0.61 eV/f.u.
excess energy over the best structure of this formula in the dataset = 116.1 meV/atom

a = 5.378 Å, b = 5.378 Å, c = 5.505 Å
α = 90.00°, β = 90.00°, γ = 90.00°
Space group P4/mmm (No. 123)
Asymmetric unit:
1 K 0.000 0.000 0.000 (multiplicity 1)
2 Sb 0.000 0.500 0.500 (multiplicity 2)
3 Te 0.500 0.500 0.000 (multiplicity 1)
4 S 0.500 0.500 0.500 (multiplicity 1)

***

Entry 8:
VASP calculation (PBE-GGA) on a geometry-optimized Tb3Sm4Th structure.

energy of formation from the pure elements = 16.27 kJ per mole of atoms
excess energy over the best structure of this formula in the dataset = 126.0 meV/atom

a = 23.502 Å, b = 3.473 Å, c = 6.844 Å
α = 90.00°, β = 106.81°, γ = 90.00°
Space group C2/m (No. 12)
Asymmetric unit:
1 Tb 0.000 0.000 0.000 (multiplicity 2)
2 Tb 0.123 0.000 0.384 (multiplicity 4)
3 Sm 0.122 0.000 0.862 (multiplicity 4)
4 Sm 0.242 0.500 0.738 (multiplicity 4)
5 Th 0.000 0.500 0.500 (multiplicity 2)

***

Entry 9:
VASP calculation (PBE-GGA) on a geometry-optimized RbIrN2 structure.

E_form (uncorrected) = 1.43 eV/f.u.
excess energy over the best structure of this formula in the dataset = 0.0 meV/atom

a = 6.167 Å, b = 6.167 Å, c = 7.579 Å
α = 90.00°, β = 90.00°, γ = 90.00°
Space group I-42d (No. 122)
Asymmetric unit:
1 Rb 0.000 0.000 0.000 (multiplicity 4)
2 Ir 0.000 0.000 0.500 (multiplicity 4)
3 N 0.103 0.250 0.625 (multiplicity 8)

***

Entry 10:
VASP calculation (PBE-GGA) on a geometry-optimized SrBi2Pd3 structure.

energy of formation from the pure elements = -49.56 kJ per mole of atoms
excess energy over the best structure of this formula in the dataset = 14.3 meV/atom

a = 17.750 Å, b = 4.535 Å, c = 11.048 Å
α = 90.00°, β = 104.87°, γ = 90.00°
Space group C2/m (No. 12)
Asymmetric unit:
1 Sr 0.000 0.000 0.000 (multiplicity 2)
2 Sr 0.158 0.000 0.705 (multiplicity 4)
3 Bi 0.017 0.500 0.762 (multiplicity 4)
4 Bi 0.155 0.500 0.460 (multiplicity 4)
5 Bi 0.202 0.000 0.099 (multiplicity 4)
6 Pd 0.000 0.500 0.500 (multiplicity 2)
7 Pd 0.046 0.000 0.373 (multiplicity 4)
8 Pd 0.133 0.500 0.196 (multiplicity 4)
9 Pd 0.151 0.500 0.949 (multiplicity 4)
10 Pd 0.204 0.000 0.351 (multiplicity 4)

***

Entry 11:
VASP calculation (PBE-GGA) on a geometry-optimized YBe2Sb structure.

E_form (uncorrected) = 0.80 eV/f.u.

a = 7.372 Å, b = 7.372 Å, c = 5.896 Å
α = 90.00°, β = 90.00°, γ = 90.00°
Space group I-42d (No. 122)
Asymmetric unit:
1 Y 0.000 0.000 0.000 (multiplicity 4)
2 Be 0.203 0.250 0.625 (multiplicity 8)
3 Sb 0.000 0.000 0.500 (multiplicity 4)

***

Entry 12:
VASP calculation (PBE-GGA) on a geometry-optimized Er4MgAl2Zn structure.

energy of formation from the pure elements = -31.96 kJ per mole of atoms

a = 5.0900 Å, b = 5.0900 Å, c = 24.9754 Å
α = 90.00°, β = 90.00°, γ = 120.00°
Space group R-3m (No. 166, hexagonal axes)
Asymmetric unit:
1 Er 0.0000 0.0000 0.1204 (multiplicity 6)
2 Er 0.0000 0.0000 0.3710 (multiplicity 6)
3 Mg 0.0000 0.0000 0.5000 (multiplicity 3)
4 Al 0.0000 0.0000 0.2457 (multiplicity 6)
5 Zn 0.0000 0.0000 0.0000 (multiplicity 3)

***

Summary of density of states at the Fermi level in states/eV/f.u.
7.64; 6.89; 4.48; 3.69; 2.57; 4.03; 4.90; 13.81; 2.79; 3.18; 1.09; 5.23
(order as listed above)
Summary of electronic total energy in eV/f.u.
-54.8; -74.0; -49.5; -31.8; -15.7; -18.6; -16.0; -38.8; -25.1; -28.1; -17.2; -31.3
(order as listed above)